The following is a DFT calculation (GGA-PBE) of a geometry-optimized ZrGaIrRh structure.

```
16
Lattice="6.373 0.000 0.000 0.000 6.373 0.000 0.000 0.000 6.373" Properties=species:S:1:pos:R:3 pbc="T T T"
Zr 0.000 0.000 0.000
Zr 0.000 3.186 3.186
Zr 3.186 0.000 3.186
Zr 3.186 3.186 0.000
Ga 0.000 0.000 3.186
Ga 0.000 3.186 0.000
Ga 3.186 0.000 0.000
Ga 3.186 3.186 3.186
Ir 1.593 1.593 4.779
Ir 1.593 4.779 1.593
Ir 4.779 1.593 1.593
Ir 4.779 4.779 4.779
Rh 1.593 1.593 1.593
Rh 1.593 4.779 4.779
Rh 4.779 1.593 4.779
Rh 4.779 4.779 1.593
```

D(E_F), states/eV/f.u.: 3.980
Spin magnetization, Bohr magnetons per cell: 0.00
Energy above the lowest structure with this stoichiometry, meV/atom: 57.1
Calculated total energy, eV/f.u.: -30.817